(1)
VASP calculation (PBE) on a relaxed HfTa2B crystal.

Cell: 5.1683 5.1683 7.6174 Å, 90.00 90.00 141.06°
Sites, in units of the cell vectors:
1 Hf 0.0648 0.9352 0.7500
2 Hf 0.9352 0.0648 0.2500
3 Ta 0.3552 0.6448 0.5548
4 Ta 0.3552 0.6448 0.9452
5 Ta 0.6448 0.3552 0.0548
6 Ta 0.6448 0.3552 0.4452
7 B 0.2283 0.7717 0.2500
8 B 0.7717 0.2283 0.7500

Results
E: -10.39 eV per atom
energy of formation: -0.304 eV per atom

***

(2)
VASP calculation (PBE) on a relaxed Sb2IrSe crystal.

Cell: 3.3627 4.9018 5.0823 Å, 90.00 90.00 90.00°
Sites, in units of the cell vectors:
1 Sb 0.0000 0.0000 0.0000
2 Sb 0.5000 0.0000 0.5000
3 Ir 0.0000 0.5000 0.5000
4 Se 0.5000 0.5000 0.0000

Results
E: -4.64 eV per atom
energy relative to the elements, uncorrected: 511.1 meV per atom

***

(3)
VASP calculation (PBE) on a relaxed Mg2InGaPd crystal.

Cell: 7.1728 7.1728 7.1728 Å, 153.64 142.09 46.77°
Sites, in units of the cell vectors:
1 Mg 0.0000 0.0000 0.0000
2 Mg 0.3461 0.3461 0.0000
3 In 0.5705 0.5705 0.0000
4 Ga 0.7834 0.7834 0.0000
5 Pd 0.1827 0.6827 0.5000

Results
E: -3.12 eV per atom
distance to the lowest polymorph of the same formula: 0.000 eV per atom
energy of formation: -0.287 eV per atom

***

(4)
VASP calculation (PBE) on a relaxed BaSr2LaZn crystal.

Cell: 6.3108 6.3108 5.9222 Å, 90.00 90.00 90.00°
Sites, in units of the cell vectors:
1 Ba 0.0000 0.0000 0.0000
2 Sr 0.0000 0.5000 0.5000
3 Sr 0.5000 0.0000 0.5000
4 La 0.5000 0.5000 0.0000
5 Zn 0.5000 0.5000 0.5000

Results
E: -2.25 eV per atom
distance to the lowest polymorph of the same formula: 0.000 eV per atom
energy of formation: 0.047 eV per atom

***

Repeat the fourth record exactly.
VASP calculation (PBE) on a relaxed BaSr2LaZn crystal.

Cell: 6.3108 6.3108 5.9222 Å, 90.00 90.00 90.00°
Sites, in units of the cell vectors:
1 Ba 0.0000 0.0000 0.0000
2 Sr 0.0000 0.5000 0.5000
3 Sr 0.5000 0.0000 0.5000
4 La 0.5000 0.5000 0.0000
5 Zn 0.5000 0.5000 0.5000

Results
E: -2.25 eV per atom
distance to the lowest polymorph of the same formula: 0.000 eV per atom
energy of formation: 0.047 eV per atom